LaSm2Y2Ho: relaxed, PBE.

E_form in eV per atom: 0.2541

Cell: 6.638 17.923 3.419 Å, 90.00 90.00 90.00°
Space group Pnnm (No. 58)
Symmetry-distinct sites (fractional):
La 0.000 0.000 0.000 x2
Sm 0.220 0.352 0.500 x4
Y 0.224 0.184 0.000 x4
Ho 0.000 0.500 0.000 x2



CsNaI2N: relaxed, PBE.

Excess energy over the best structure of this formula in the dataset in eV/atom: 0.373

Cell: 7.197 7.197 5.854 Å, 90.00 90.00 90.00°
Space group P4/mmm (No. 123)
Symmetry-distinct sites (fractional):
Cs 0.000 0.000 0.000 x1
Na 0.500 0.500 0.500 x1
I 0.000 0.500 0.000 x2
N 0.000 0.000 0.500 x1



Cs4Rb2Hg: relaxed, PBE.

Excess energy over the best structure of this formula in the dataset in eV/atom: 0.000
E_form in eV per atom: -0.0478

Cell: 19.823 7.071 9.738 Å, 90.00 115.20 90.00°
Space group C2/m (No. 12)
Symmetry-distinct sites (fractional):
Cs 0.034 0.000 0.254 x4
Cs 0.139 0.500 0.775 x4
Rb 0.200 0.500 0.303 x4
Hg 0.000 0.500 0.000 x2



NaAlRh3: relaxed, PBE.

Excess energy over the best structure of this formula in the dataset in eV/atom: 0.000
E_form in eV per atom: 0.4538

Cell: 4.553 4.553 4.553 Å, 90.00 90.00 90.00°
Space group Pm-3m (No. 221)
Symmetry-distinct sites (fractional):
Na 0.000 0.000 0.000 x1
Al 0.500 0.500 0.500 x1
Rh 0.000 0.500 0.500 x3



HfSc3N: relaxed, PBE.

Excess energy over the best structure of this formula in the dataset in eV/atom: 0.000

Cell: 6.476 5.717 5.235 Å, 90.00 90.00 90.00°
Space group Pmn2_1 (No. 31)
Symmetry-distinct sites (fractional):
Hf 0.000 0.185 0.000 x2
Sc 0.000 0.817 0.471 x2
Sc 0.249 0.656 0.992 x4
N 0.000 0.488 0.232 x2



Ce3Mo5S12: relaxed, PBE.

Electronic total energy in eV/atom: -6.944

Cell: 15.086 15.086 15.086 Å, 90.00 90.00 90.00°
Space group Ia-3d (No. 230)
Symmetry-distinct sites (fractional):
Ce 0.000 0.250 0.125 x24
Mo 0.000 0.000 0.000 x16
Mo 0.000 0.250 0.375 x24
S 0.032 0.059 0.647 x96



Ho2Mg3Sc3: relaxed, PBE.

Excess energy over the best structure of this formula in the dataset in eV/atom: 0.000
E_form in eV per atom: 0.0045

Cell: 5.2232 5.2232 25.7290 Å, 90.00 90.00 120.00°
Space group R3m (No. 160, hexagonal axes)
Symmetry-distinct sites (fractional):
Ho 0.0000 0.0000 0.0000 x3
Ho 0.0000 0.0000 0.4999 x3
Mg 0.0000 0.0000 0.1232 x3
Mg 0.0000 0.0000 0.6273 x3
Mg 0.0000 0.0000 0.8754 x3
Sc 0.0000 0.0000 0.2487 x3
Sc 0.0000 0.0000 0.3748 x3
Sc 0.0000 0.0000 0.7528 x3



CeSi2Pd7: relaxed, PBE.

Electronic total energy in eV/atom: -5.752

Cell: 7.330 11.727 4.499 Å, 90.00 90.00 90.00°
Space group Cmmm (No. 65)
Symmetry-distinct sites (fractional):
Ce 0.000 0.000 0.000 x2
Si 0.000 0.303 0.500 x4
Pd 0.000 0.240 0.000 x4
Pd 0.000 0.500 0.500 x2
Pd 0.190 0.129 0.500 x8



DyNp2PdS4: relaxed, PBE.

Electronic total energy in eV/atom: -7.717

Cell: 6.798 6.798 6.630 Å, 90.00 90.00 90.00°
Space group I-42m (No. 121)
Symmetry-distinct sites (fractional):
Dy 0.000 0.000 0.000 x2
Np 0.000 0.500 0.000 x4
Pd 0.000 0.000 0.500 x2
S 0.210 0.210 0.286 x8



Na3CdHg4: relaxed, PBE.

Excess energy over the best structure of this formula in the dataset in eV/atom: 0.072
E_form in eV per atom: -0.1364

Cell: 6.328 11.180 6.124 Å, 90.00 90.00 90.00°
Space group Imm2 (No. 44)
Symmetry-distinct sites (fractional):
Na 0.000 0.000 0.000 x2
Na 0.000 0.277 0.247 x4
Cd 0.000 0.500 0.585 x2
Hg 0.000 0.244 0.743 x4
Hg 0.241 0.000 0.522 x4



Fe3Co4: relaxed, PBE.

Excess energy over the best structure of this formula in the dataset in eV/atom: 0.061
E_form in eV per atom: 0.0229

Cell: 2.851 4.002 27.900 Å, 90.00 90.00 90.00°
Space group Fmm2 (No. 42)
Symmetry-distinct sites (fractional):
Fe 0.000 0.000 0.000 x4
Fe 0.000 0.000 0.143 x4
Fe 0.000 0.000 0.716 x4
Co 0.000 0.000 0.287 x4
Co 0.000 0.000 0.429 x4
Co 0.000 0.000 0.572 x4
Co 0.000 0.000 0.858 x4



BaNiPd2Ru: relaxed, PBE.

E_form in eV per atom: 1.0398

Cell: 4.698 4.698 5.211 Å, 90.00 90.00 90.00°
Space group P4/mmm (No. 123)
Symmetry-distinct sites (fractional):
Ba 0.000 0.000 0.000 x1
Ni 0.000 0.000 0.500 x1
Pd 0.000 0.500 0.500 x2
Ru 0.500 0.500 0.000 x1



Re2SbOs: relaxed, PBE.

Electronic total energy in eV/atom: -9.516

Cell: 4.146 2.870 10.951 Å, 90.00 90.00 90.00°
Space group Amm2 (No. 38)
Symmetry-distinct sites (fractional):
Re 0.000 0.000 0.000 x2
Re 0.500 0.000 0.368 x2
Sb 0.500 0.000 0.615 x2
Os 0.000 0.000 0.764 x2



Sm3Mg4Pt4: relaxed, PBE.

E_form in eV per atom: -0.8967

Cell: 4.019 7.998 14.846 Å, 90.00 90.00 90.00°
Space group Immm (No. 71)
Symmetry-distinct sites (fractional):
Sm 0.000 0.000 0.000 x2
Sm 0.000 0.500 0.114 x4
Mg 0.000 0.308 0.326 x8
Pt 0.000 0.000 0.234 x4
Pt 0.000 0.203 0.500 x4



AlFe3H: relaxed, PBE.

Excess energy over the best structure of this formula in the dataset in eV/atom: 0.051

Cell: 9.047 5.131 4.622 Å, 90.00 111.09 90.00°
Space group Cm (No. 8)
Symmetry-distinct sites (fractional):
Al 0.000 0.000 0.000 x2
Al 0.240 0.500 0.465 x2
Fe 0.243 0.000 0.489 x2
Fe 0.246 0.253 0.981 x4
Fe 0.487 0.000 0.996 x2
Fe 0.496 0.262 0.494 x4
H 0.102 0.500 0.771 x2
H 0.370 0.000 0.244 x2



BaMoAu2: relaxed, PBE.

Excess energy over the best structure of this formula in the dataset in eV/atom: 0.557
E_form in eV per atom: 0.6238

Cell: 7.226 7.226 7.226 Å, 90.00 90.00 90.00°
Space group F-43m (No. 216)
Symmetry-distinct sites (fractional):
Ba 0.000 0.000 0.000 x4
Mo 0.250 0.250 0.750 x4
Au 0.000 0.000 0.500 x4
Au 0.250 0.250 0.250 x4



Nb2FeNi: relaxed, PBE.

Excess energy over the best structure of this formula in the dataset in eV/atom: 0.000
E_form in eV per atom: -0.0429

Cell: 2.841 2.841 7.166 Å, 90.00 90.00 90.00°
Space group P4/mmm (No. 123)
Symmetry-distinct sites (fractional):
Nb 0.000 0.000 0.238 x2
Fe 0.500 0.500 0.000 x1
Ni 0.500 0.500 0.500 x1



Ce3TiO: relaxed, PBE.

Electronic total energy in eV/atom: -7.108

Cell: 4.816 4.816 4.816 Å, 90.00 90.00 90.00°
Space group Pm-3m (No. 221)
Symmetry-distinct sites (fractional):
Ce 0.000 0.000 0.500 x3
Ti 0.500 0.500 0.500 x1
O 0.000 0.000 0.000 x1



Hf2FeSi: relaxed, PBE.

Electronic total energy in eV/atom: -8.289

Cell: 6.998 6.998 5.798 Å, 90.00 90.00 90.00°
Space group I-42d (No. 122)
Symmetry-distinct sites (fractional):
Hf 0.221 0.750 0.125 x8
Fe 0.000 0.000 0.000 x4
Si 0.000 0.000 0.500 x4



CaPr2Er: relaxed, PBE.

Excess energy over the best structure of this formula in the dataset in eV/atom: 0.018
E_form in eV per atom: 0.0399

Cell: 3.681 3.681 10.552 Å, 90.00 90.00 90.00°
Space group P4/mmm (No. 123)
Symmetry-distinct sites (fractional):
Ca 0.000 0.000 0.000 x1
Pr 0.500 0.500 0.266 x2
Er 0.000 0.000 0.500 x1